An optimized crystal structure of NpGaFeO6. Source: Alexandria via LeMat-Bulk, functional GGA+U.

Cell: 5.1944 5.1944 9.0153 Å, 90.00 90.00 120.00°
Closest atoms and distances in Å follow each position.
Fractional positions:
Np 0.3333 0.6667 0.2500  6 O 2.08
Np 0.6667 0.3333 0.7500  6 O 2.08
Ga 0.3333 0.6667 0.7500  6 O 2.03
Ga 0.6667 0.3333 0.2500  6 O 2.03
Fe 0.0000 0.0000 0.0000  6 O 2.08
Fe 0.0000 0.0000 0.5000  6 O 2.08
O 0.0082 0.3359 0.6283  1 Ga 2.03, 1 Fe 2.08, 1 Np 2.08
O 0.0082 0.6723 0.8717  1 Ga 2.03, 1 Fe 2.08, 1 Np 2.08
O 0.3277 0.3359 0.8717  1 Ga 2.03, 1 Fe 2.08, 1 Np 2.08
O 0.3277 0.9918 0.6283  1 Ga 2.03, 1 Fe 2.08, 1 Np 2.08
O 0.3359 0.0082 0.1283  1 Ga 2.03, 1 Fe 2.08, 1 Np 2.08
O 0.3359 0.3277 0.3717  1 Ga 2.03, 1 Fe 2.08, 1 Np 2.08
O 0.6641 0.6723 0.6283  1 Ga 2.03, 1 Fe 2.08, 1 Np 2.08
O 0.6641 0.9918 0.8717  1 Ga 2.03, 1 Fe 2.08, 1 Np 2.08
O 0.6723 0.0082 0.3717  1 Ga 2.03, 1 Fe 2.08, 1 Np 2.08
O 0.6723 0.6641 0.1283  1 Ga 2.03, 1 Fe 2.08, 1 Np 2.08
O 0.9918 0.3277 0.1283  1 Ga 2.03, 1 Fe 2.08, 1 Np 2.08
O 0.9918 0.6641 0.3717  1 Ga 2.03, 1 Fe 2.08, 1 Np 2.08

Total DFT energy (no corrections): -7.72 eV per atom
Size of the total moment: 12.0 Bohr magnetons per cell